Entry 1:
This record from Alexandria via LeMat-Bulk describes crystalline Ta2NiHg2 at its relaxed geometry. The functional is PBE.

Cell and atoms, written as extended XYZ:
```
5
Lattice="-1.903 1.903 7.239 1.903 -1.903 7.239 1.903 1.903 -7.239" Properties=species:S:1:pos:R:3 pbc="T T T"
Ta 0.000 0.000 1.189
Ta 0.000 0.000 13.290
Ni 0.000 0.000 7.239
Hg 1.903 0.000 3.620
Hg 0.000 1.903 3.620
```

Output
ΔH_f (0 K) (meV/atom): 992
Space-group type: No. 139
ΔE to the lowest computed polymorph (eV per atom): 0.105


Entry 2:
This record from Alexandria via LeMat-Bulk describes crystalline TaNiHg2 at its relaxed geometry. The functional is PBE.

Cell and atoms, written as extended XYZ:
```
4
Lattice="4.958 0.000 0.000 0.000 4.958 0.000 0.000 0.000 2.955" Properties=species:S:1:pos:R:3 pbc="T T T"
Ta 0.000 0.000 0.000
Ni 2.479 2.479 0.000
Hg 0.000 2.479 1.478
Hg 2.479 0.000 1.478
```

Output
ΔH_f (0 K) (meV/atom): 523
Space-group type: No. 123


Entry 3:
This record from Alexandria via LeMat-Bulk describes crystalline Ta2NiHg at its relaxed geometry. The functional is PBE.

Cell and atoms, written as extended XYZ:
```
4
Lattice="2.840 -4.118 0.000 2.840 4.118 0.000 0.000 0.000 2.897" Properties=species:S:1:pos:R:3 pbc="T T T"
Ta 1.420 2.059 0.000
Ta 1.420 -2.059 0.000
Ni 0.000 0.000 1.449
Hg 2.840 0.000 1.449
```

Output
ΔH_f (0 K) (meV/atom): 255
Space-group type: No. 65


Entry 4:
This record from Alexandria via LeMat-Bulk describes crystalline Ta2NiHg at its relaxed geometry. The functional is PBE.

Cell and atoms, written as extended XYZ:
```
4
Lattice="-1.988 2.027 4.173 1.988 -2.027 4.173 1.988 2.027 -4.173" Properties=species:S:1:pos:R:3 pbc="T T T"
Ta 0.000 0.000 2.072
Ta 0.000 0.000 6.273
Ni 1.988 0.000 0.000
Hg 0.000 2.027 0.000
```

Output
ΔH_f (0 K) (meV/atom): 205
Space-group type: No. 71


Entry 5:
This record from Alexandria via LeMat-Bulk describes crystalline TaNi2Hg at its relaxed geometry. The functional is PBE.

Cell and atoms, written as extended XYZ:
```
4
Lattice="0.000 3.116 3.116 3.116 0.000 3.116 3.116 3.116 0.000" Properties=species:S:1:pos:R:3 pbc="T T T"
Ta 0.000 0.000 0.000
Ni 1.558 1.558 1.558
Ni 3.116 3.116 3.116
Hg 4.674 4.674 4.674
```

Output
ΔH_f (0 K) (meV/atom): 275
Space-group type: No. 216


Entry 6:
This record from Alexandria via LeMat-Bulk describes crystalline TaNiHgTe2 at its relaxed geometry. The functional is PBE.

Cell and atoms, written as extended XYZ:
```
5
Lattice="5.409 0.000 0.000 0.000 5.409 0.000 0.000 0.000 4.828" Properties=species:S:1:pos:R:3 pbc="T T T"
Ta 0.000 0.000 0.000
Ni 0.000 0.000 2.414
Hg 2.704 2.704 2.414
Te 0.000 2.704 0.000
Te 2.704 0.000 0.000
```

Output
Space-group type: No. 123
Uncorrected formation energy (kJ/mol of formula units): 269


Entry 7:
This record from Alexandria via LeMat-Bulk describes crystalline TaNiHgTe3 at its relaxed geometry. The functional is PBE.

Cell and atoms, written as extended XYZ:
```
12
Lattice="10.079 0.000 0.000 0.000 3.692 0.000 -4.732 0.000 9.238" Properties=species:S:1:pos:R:3 pbc="T T T"
Ta -1.152 0.923 2.907
Ta 6.499 2.769 6.331
Ni -0.304 2.769 0.998
Ni 5.651 0.923 8.240
Hg 1.281 2.769 7.044
Hg 4.066 0.923 2.194
Te -1.452 0.923 5.806
Te -2.807 2.769 8.955
Te 0.877 2.769 3.270
Te 4.471 0.923 5.968
Te 8.155 0.923 0.283
Te 6.800 2.769 3.432
```

Output
Space-group type: No. 11
Uncorrected formation energy (kJ/mol of formula units): -153


Entry 8:
This record from Alexandria via LeMat-Bulk describes crystalline TbNiHg at its relaxed geometry. The functional is PBE.

Cell and atoms, written as extended XYZ:
```
3
Lattice="0.000 3.224 3.224 3.224 0.000 3.224 3.224 3.224 0.000" Properties=species:S:1:pos:R:3 pbc="T T T"
Tb 0.000 0.000 0.000
Ni 1.612 1.612 1.612
Hg 3.224 3.224 3.224
```

Output
ΔH_f (0 K) (meV/atom): -291
Space-group type: No. 216


Taking the records one at a time from the top gives VASP energy values of -25.1; -16.1; -28.8; -29.0; -22.6; -21.4; -57.9; -11.6 eV/cell.
Taking the records one at a time from the top gives N(E_F) values of 4.6; 3.8; 3.1; 3.1; 2.8; 7.9; 6.0; 1.6 states/eV per cell.